# Fe2TePb

Fe2TePb after structural relaxation (PBE, the Alexandria database).

Summary:
The value obtained for the formation energy without anion corrections is 533.8 meV/atom. The value obtained for the calculated volume is 229.54 Å³ per cell. The calculation puts the calculated total energy at -21.640 eV/f.u. Its magnetization is 1.10 μB/atom. The energy above the lowest structure with this stoichiometry comes out at 361 meV/atom.

abc: 3.3569 3.3569 23.5215
angles: 90.00 90.00 120.00
Space group R-3m (No. 166, hexagonal axes)
One atom of each set of equivalent atoms:
Fe1 0.0000 0.0000 0.2446
Te1 0.0000 0.0000 0.5000
Pb1 0.0000 0.0000 0.0000